VNiOF2, relaxed, DFT GGA+U; density = 4.6 g/cm³; total moment = 5.0 μB/f.u.; excess energy over the best structure of this formula in the dataset = 0.1811 eV/atom
1.0
3.821 0.000 0.000
0.000 3.821 0.000
0.000 0.000 4.075
V Ni O F
1 1 1 2
direct
0.000 0.000 0.000
0.500 0.500 0.500
0.500 0.500 0.000
0.000 0.500 0.500
0.500 0.000 0.500